1.
! PBE Rb3SrTc2O9, relaxed; values from VASP
&SYSTEM
  ibrav = 0, nat = 15, ntyp = 4
/
ATOMIC_SPECIES
O 16.00 O.upf
Rb 85.47 Rb.upf
Tc 98.00 Tc.upf
Sr 87.62 Sr.upf
CELL_PARAMETERS angstrom
-1.6039 -5.6552 -0.7544
5.0816 1.2959 2.7607
-3.6200 0.1470 6.5943
ATOMIC_POSITIONS angstrom
O 1.7388 -2.1797 1.0031
Rb -0.5321 -3.2912 2.5244
O -2.9336 -4.2686 4.5632
O 2.0751 -2.4687 3.7005
O 2.5408 0.6479 1.3803
Tc 2.2843 -0.9981 2.6252
O 2.7913 0.0563 4.0373
O -0.8020 -2.8276 -0.3772
O -0.6647 -3.6900 5.7959
Rb 0.0000 0.0000 0.0000
O 0.5224 -0.5223 2.8047
Sr -1.8100 0.0735 3.2971
Tc -2.4266 -3.2143 5.9754
O -2.2174 -1.7436 4.9001
Rb 0.3898 -0.9211 6.0761
! Uncorrected formation energy: -25.1 eV/f.u.
! Space-group type: No. 164
! Volume: 15.3 Å³ per atom


2.
! PBE Pu2HfPaSb4, relaxed; values from VASP
&SYSTEM
  ibrav = 0, nat = 8, ntyp = 4
/
ATOMIC_SPECIES
Sb 121.76 Sb.upf
Hf 178.49 Hf.upf
Pu 244.00 Pu.upf
Pa 231.04 Pa.upf
CELL_PARAMETERS angstrom
-3.0391 0.8268 -2.9625
-3.7260 -6.1115 2.1167
-2.3757 5.9072 4.0857
ATOMIC_POSITIONS angstrom
Sb -2.7090 3.0036 3.6173
Sb -6.1893 0.2651 3.2678
Hf 0.0000 0.0000 0.0000
Pu -2.7074 3.3670 0.5616
Pu -3.0508 -0.1021 3.1012
Sb -3.3927 -3.2079 2.5851
Sb -2.9515 0.3574 -0.0279
Pa -3.3825 -2.6423 -0.4229
! Uncorrected formation energy: -4.4 eV/f.u.
! Space-group type: No. 10
! Volume: 28.8 Å³ per atom